1.
# LiAc2P4Pd3

An optimized crystal structure of LiAc2P4Pd3 (PBE-GGA, Alexandria).

## Properties
symmetry = P-4m2
calculated volume = 19.05 A^3/atom
DFT total energy = -5.70 eV/atom
density of states at the Fermi level = 2.389 states/eV/cell
calculated formation energy = -0.969 eV/atom

Unit cell a=4.4022 b=4.4022 c=9.8309 alpha=90.00 beta=90.00 gamma=90.00
Element x y z (fractional)
Li: 0.0000 0.0000 0.0000
Ac: 0.0000 0.5000 0.7482
Ac: 0.5000 0.0000 0.2518
P: 0.0000 0.0000 0.5000
P: 0.0000 0.5000 0.1347
P: 0.5000 0.0000 0.8653
P: 0.5000 0.5000 0.5000
Pd: 0.0000 0.5000 0.3916
Pd: 0.5000 0.0000 0.6084
Pd: 0.5000 0.5000 0.0000


2.
# LiAcP2Pd2

An optimized crystal structure of LiAcP2Pd2 (PBE-GGA, Alexandria).

## Properties
symmetry = P-3m1
calculated volume = 18.21 A^3/atom
DFT total energy = -5.46 eV/atom
density of states at the Fermi level = 3.412 states/eV/cell
calculated formation energy = -0.926 eV/atom

Unit cell a=4.2311 b=4.2311 c=7.0456 alpha=90.00 beta=90.00 gamma=120.00
Element x y z (fractional)
Li: 0.0000 0.0000 0.0000
Ac: 0.0000 0.0000 0.5000
P: 0.3333 0.6667 0.7882
P: 0.6667 0.3333 0.2118
Pd: 0.3333 0.6667 0.1592
Pd: 0.6667 0.3333 0.8408


3.
# LiAc2P3Pt12

An optimized crystal structure of LiAc2P3Pt12 (PBE-GGA, Alexandria).

## Properties
symmetry = R-3m
calculated volume = 19.98 A^3/atom
DFT total energy = -6.02 eV/atom
density of states at the Fermi level = 4.860 states/eV/cell
calculated formation energy = -0.525 eV/atom

Unit cell a=7.7160 b=7.7160 c=7.7160 alpha=64.89 beta=64.89 gamma=64.89
Element x y z (fractional)
Li: 0.0000 0.0000 0.0000
Ac: 0.3801 0.3801 0.3801
Ac: 0.6199 0.6199 0.6199
P: 0.0000 0.0000 0.5000
P: 0.0000 0.5000 0.0000
P: 0.5000 0.0000 0.0000
Pt: 0.1003 0.6604 0.6604
Pt: 0.1150 0.1150 0.6435
Pt: 0.1150 0.6435 0.1150
Pt: 0.3396 0.3396 0.8997
Pt: 0.3396 0.8997 0.3396
Pt: 0.3565 0.8850 0.8850
Pt: 0.6435 0.1150 0.1150
Pt: 0.6604 0.1003 0.6604
Pt: 0.6604 0.6604 0.1003
Pt: 0.8850 0.3565 0.8850
Pt: 0.8850 0.8850 0.3565
Pt: 0.8997 0.3396 0.3396


4.
# LiAc2P3Pt4

An optimized crystal structure of LiAc2P3Pt4 (PBE-GGA, Alexandria).

## Properties
symmetry = P-4m2
calculated volume = 18.83 A^3/atom
DFT total energy = -6.04 eV/atom
density of states at the Fermi level = 5.534 states/eV/cell
calculated formation energy = -0.989 eV/atom

Unit cell a=4.3482 b=4.3482 c=9.9613 alpha=90.00 beta=90.00 gamma=90.00
Element x y z (fractional)
Li: 0.0000 0.0000 0.0000
Ac: 0.0000 0.5000 0.7491
Ac: 0.5000 0.0000 0.2509
P: 0.0000 0.5000 0.3683
P: 0.5000 0.0000 0.6317
P: 0.5000 0.5000 0.0000
Pt: 0.0000 0.0000 0.5000
Pt: 0.0000 0.5000 0.1211
Pt: 0.5000 0.0000 0.8789
Pt: 0.5000 0.5000 0.5000


5.
# LiAcP2Pt8

An optimized crystal structure of LiAcP2Pt8 (PBE-GGA, Alexandria).

## Properties
symmetry = C2/m
calculated volume = 18.55 A^3/atom
DFT total energy = -6.05 eV/atom
density of states at the Fermi level = 3.614 states/eV/cell
calculated formation energy = -0.619 eV/atom

Unit cell a=5.4605 b=5.4605 c=8.4135 alpha=93.70 beta=93.70 gamma=62.84
Element x y z (fractional)
Li: 0.0000 0.0000 0.0000
Ac: 0.0000 0.0000 0.5000
P: 0.4930 0.4930 0.7323
P: 0.5070 0.5070 0.2677
Pt: 0.0502 0.5636 0.7654
Pt: 0.3484 0.3484 0.4747
Pt: 0.3620 0.3620 0.0436
Pt: 0.4364 0.9498 0.2346
Pt: 0.5636 0.0502 0.7654
Pt: 0.6380 0.6380 0.9564
Pt: 0.6516 0.6516 0.5253
Pt: 0.9498 0.4364 0.2346


6.
# LiAcP2Pt7

An optimized crystal structure of LiAcP2Pt7 (PBE-GGA, Alexandria).

## Properties
symmetry = I-4m2
calculated volume = 17.06 A^3/atom
DFT total energy = -5.80 eV/atom
density of states at the Fermi level = 4.922 states/eV/cell
calculated formation energy = -0.425 eV/atom

Unit cell a=10.1454 b=10.1454 c=10.1454 alpha=154.90 beta=154.90 gamma=35.79
Element x y z (fractional)
Li: 0.0000 0.0000 0.0000
Ac: 0.2500 0.7500 0.5000
P: 0.5805 0.0805 0.5000
P: 0.9195 0.4195 0.5000
Pt: 0.0377 0.5377 0.5000
Pt: 0.1346 0.1346 0.0000
Pt: 0.3694 0.3694 0.0000
Pt: 0.4623 0.9623 0.5000
Pt: 0.6306 0.6306 0.0000
Pt: 0.7500 0.2500 0.5000
Pt: 0.8654 0.8654 0.0000


7.
# LiAcPPt2

An optimized crystal structure of LiAcPPt2 (PBE-GGA, Alexandria).

## Properties
symmetry = Imm2
calculated volume = 19.49 A^3/atom
DFT total energy = -5.67 eV/atom
density of states at the Fermi level = 6.621 states/eV/cell
calculated formation energy = -0.967 eV/atom

Unit cell a=4.2648 b=4.3602 c=10.4808 alpha=90.00 beta=90.00 gamma=90.00
Element x y z (fractional)
Li: 0.0000 0.0000 0.0000
Li: 0.5000 0.5000 0.5000
Ac: 0.0000 0.5000 0.2479
Ac: 0.5000 0.0000 0.7479
P: 0.0000 0.5000 0.8839
P: 0.5000 0.0000 0.3839
Pt: 0.0000 0.0000 0.4822
Pt: 0.0000 0.5000 0.6567
Pt: 0.5000 0.0000 0.1567
Pt: 0.5000 0.5000 0.9822


8.
# LiAcP2Pt

An optimized crystal structure of LiAcP2Pt (PBE-GGA, Alexandria).

## Properties
symmetry = I-4m2
calculated volume = 18.37 A^3/atom
DFT total energy = -5.59 eV/atom
density of states at the Fermi level = 2.819 states/eV/cell
calculated formation energy = -1.014 eV/atom

Unit cell a=4.2661 b=4.2661 c=10.0920 alpha=90.00 beta=90.00 gamma=90.00
Element x y z (fractional)
Li: 0.0000 0.0000 0.0000
Li: 0.5000 0.5000 0.5000
Ac: 0.0000 0.5000 0.2500
Ac: 0.5000 0.0000 0.7500
P: 0.0000 0.5000 0.6332
P: 0.0000 0.5000 0.8668
P: 0.5000 0.0000 0.1332
P: 0.5000 0.0000 0.3668
Pt: 0.0000 0.0000 0.5000
Pt: 0.5000 0.5000 0.0000


9.
# LiAcPu2P4

An optimized crystal structure of LiAcPu2P4 (PBE-GGA, Alexandria).

## Properties
symmetry = Cmcm
calculated volume = 22.84 A^3/atom
DFT total energy = -8.02 eV/atom
density of states at the Fermi level = 41.684 states/eV/cell
calculated formation energy = -0.979 eV/atom

Unit cell a=6.9476 b=6.9476 c=13.3613 alpha=90.00 beta=90.00 gamma=145.48
Element x y z (fractional)
Li: 0.1489 0.8511 0.7500
Li: 0.8511 0.1489 0.2500
Ac: 0.1155 0.8845 0.2500
Ac: 0.8845 0.1155 0.7500
Pu: 0.3703 0.6297 0.0588
Pu: 0.3703 0.6297 0.4412
Pu: 0.6297 0.3703 0.5588
Pu: 0.6297 0.3703 0.9412
P: 0.0000 0.0000 0.0000
P: 0.0000 0.0000 0.5000
P: 0.2620 0.7380 0.6116
P: 0.2620 0.7380 0.8884
P: 0.4453 0.5547 0.2500
P: 0.5547 0.4453 0.7500
P: 0.7380 0.2620 0.1116
P: 0.7380 0.2620 0.3884


10.
# LiAcP2Rh

An optimized crystal structure of LiAcP2Rh (PBE-GGA, Alexandria).

## Properties
symmetry = I-4m2
calculated volume = 17.89 A^3/atom
DFT total energy = -5.84 eV/atom
density of states at the Fermi level = 3.748 states/eV/cell
calculated formation energy = -1.000 eV/atom

Unit cell a=4.2024 b=4.2024 c=10.1275 alpha=90.00 beta=90.00 gamma=90.00
Element x y z (fractional)
Li: 0.0000 0.0000 0.0000
Li: 0.5000 0.5000 0.5000
Ac: 0.0000 0.5000 0.2500
Ac: 0.5000 0.0000 0.7500
P: 0.0000 0.5000 0.6282
P: 0.0000 0.5000 0.8718
P: 0.5000 0.0000 0.1282
P: 0.5000 0.0000 0.3718
Rh: 0.0000 0.0000 0.5000
Rh: 0.5000 0.5000 0.0000


11.
# LiAc2P3Rh12

An optimized crystal structure of LiAc2P3Rh12 (PBE-GGA, Alexandria).

## Properties
symmetry = R-3m
calculated volume = 17.97 A^3/atom
DFT total energy = -6.62 eV/atom
density of states at the Fermi level = 10.887 states/eV/cell
calculated formation energy = -0.258 eV/atom

Unit cell a=7.1238 b=7.1238 c=7.1238 alpha=73.33 beta=73.33 gamma=73.33
Element x y z (fractional)
Li: 0.0000 0.0000 0.0000
Ac: 0.3876 0.3876 0.3876
Ac: 0.6124 0.6124 0.6124
P: 0.0000 0.0000 0.5000
P: 0.0000 0.5000 0.0000
P: 0.5000 0.0000 0.0000
Rh: 0.0859 0.6718 0.6718
Rh: 0.1374 0.1374 0.6501
Rh: 0.1374 0.6501 0.1374
Rh: 0.3282 0.3282 0.9141
Rh: 0.3282 0.9141 0.3282
Rh: 0.3499 0.8626 0.8626
Rh: 0.6501 0.1374 0.1374
Rh: 0.6718 0.0859 0.6718
Rh: 0.6718 0.6718 0.0859
Rh: 0.8626 0.3499 0.8626
Rh: 0.8626 0.8626 0.3499
Rh: 0.9141 0.3282 0.3282


12.
# LiAc2P3Rh4

An optimized crystal structure of LiAc2P3Rh4 (PBE-GGA, Alexandria).

## Properties
symmetry = P-4m2
calculated volume = 17.77 A^3/atom
DFT total energy = -6.56 eV/atom
density of states at the Fermi level = 4.271 states/eV/cell
calculated formation energy = -0.980 eV/atom

Unit cell a=4.1805 b=4.1805 c=10.1682 alpha=90.00 beta=90.00 gamma=90.00
Element x y z (fractional)
Li: 0.0000 0.0000 0.0000
Ac: 0.0000 0.5000 0.7577
Ac: 0.5000 0.0000 0.2423
P: 0.0000 0.5000 0.3687
P: 0.5000 0.0000 0.6313
P: 0.5000 0.5000 0.0000
Rh: 0.0000 0.0000 0.5000
Rh: 0.0000 0.5000 0.1327
Rh: 0.5000 0.0000 0.8673
Rh: 0.5000 0.5000 0.5000


Which of these has the highest calculated volume? LiAcPu2P4


Number 11 is which compound? LiAc2P3Rh12